# 1
Crystalline Pm4DyEr3 at its relaxed geometry, computed with PBE.

Lattice parameters (Å, degrees): 11.4713 7.2983 6.2878 90.00 90.00 90.00
Fractional positions:
Pm 0.0000 0.1278 0.0000
Pm 0.0000 0.8714 0.5041
Pm 0.2485 0.1275 0.3373
Pm 0.2515 0.8725 0.8373
Pm 0.5000 0.1286 0.0041
Pm 0.5000 0.8722 0.5000
Pm 0.7485 0.8725 0.8373
Pm 0.7515 0.1275 0.3373
Dy 0.0000 0.6220 0.0043
Dy 0.5000 0.3780 0.5043
Er 0.0000 0.3794 0.5033
Er 0.2499 0.3788 0.8364
Er 0.2501 0.6212 0.3364
Er 0.5000 0.6206 0.0033
Er 0.7501 0.3788 0.8364
Er 0.7499 0.6212 0.3364

Computed properties:
The value obtained for the total DFT energy (no corrections) is -4.6377 eV per atom. The energy relative to the lowest polymorph listed for this composition comes out at 0.000 eV/atom. Its space group is Pmn2_1. For the formation enthalpy at 0 K, the calculation gives 0.024 eV/atom.

***

# 2
Crystalline TaBSe2Br at its relaxed geometry, computed with PBE.

Lattice parameters (Å, degrees): 4.5052 4.5052 4.4166 90.00 90.00 90.00
Fractional positions:
Ta 0.0000 0.0000 0.0000
B 0.5000 0.5000 0.5000
Se 0.0000 0.5000 0.5000
Se 0.5000 0.0000 0.5000
Br 0.5000 0.5000 0.0000

Computed properties:
The value obtained for the total DFT energy (no corrections) is -4.5189 eV per atom. The formation energy without anion corrections is 88 kJ/mol of atoms. The energy relative to the lowest polymorph listed for this composition comes out at 0.168 eV/atom. Its space group is P4/mmm.

***

# 3
Crystalline PaAlVTc at its relaxed geometry, computed with PBE.

Lattice parameters (Å, degrees): 4.5678 4.5678 4.5678 60.00 60.00 60.00
Fractional positions:
Pa 0.0000 0.0000 0.0000
Al 0.5000 0.5000 0.5000
V 0.7500 0.7500 0.7500
Tc 0.2500 0.2500 0.2500

Computed properties:
The value obtained for the total DFT energy (no corrections) is -8.4179 eV per atom. Its space group is F-43m. For the formation enthalpy at 0 K, the calculation gives -0.237 eV/atom.

***

# 4
Crystalline TaInP at its relaxed geometry, computed with PBE.

Lattice parameters (Å, degrees): 4.2190 4.2190 3.8180 90.00 90.00 120.00
Fractional positions:
Ta 0.0000 0.0000 0.0000
In 0.6667 0.3333 0.5000
P 0.3333 0.6667 0.0000

Computed properties:
The value obtained for the total DFT energy (no corrections) is -6.6938 eV per atom. The energy relative to the lowest polymorph listed for this composition comes out at 0.227 eV/atom. Its space group is P-6m2. For the formation enthalpy at 0 K, the calculation gives -0.027 eV/atom.

***

# 5
Crystalline Hf2PaRe at its relaxed geometry, computed with PBE.

Lattice parameters (Å, degrees): 3.2508 3.2508 7.9920 90.00 90.00 90.00
Fractional positions:
Hf 0.0000 0.0000 0.1999
Hf 0.0000 0.0000 0.8001
Pa 0.5000 0.5000 0.5000
Re 0.5000 0.5000 0.0000

Computed properties:
The value obtained for the total DFT energy (no corrections) is -10.5664 eV per atom. The energy relative to the lowest polymorph listed for this composition comes out at 0.000 eV/atom. Its space group is P4/mmm. For the formation enthalpy at 0 K, the calculation gives -0.104 eV/atom.

***

# 6
Crystalline NbHPd at its relaxed geometry, computed with PBE.

Lattice parameters (Å, degrees): 4.7480 2.8540 5.1897 90.00 91.15 90.00
Fractional positions:
Nb 0.0000 0.0000 0.0000
Nb 0.4765 0.0000 0.6653
H 0.7360 0.5000 0.8356
H 0.7395 0.0000 0.3333
Pd 0.4812 0.5000 0.1765
Pd 0.9950 0.5000 0.4894

Computed properties:
The value obtained for the total DFT energy (no corrections) is -6.4122 eV per atom. The energy relative to the lowest polymorph listed for this composition comes out at 0.056 eV/atom. Its space group is Pm.

***

# 7
Crystalline NiAu2 at its relaxed geometry, computed with PBE.

Lattice parameters (Å, degrees): 7.5882 7.5882 2.8461 90.00 90.00 120.00
Fractional positions:
Ni 0.0000 0.0000 0.0000
Ni 0.3333 0.6667 0.5000
Ni 0.6667 0.3333 0.5000
Au 0.0000 0.2964 0.5000
Au 0.0000 0.6295 0.0000
Au 0.2964 0.0000 0.5000
Au 0.3705 0.3705 0.0000
Au 0.6295 0.0000 0.0000
Au 0.7036 0.7036 0.5000

Computed properties:
The value obtained for the total DFT energy (no corrections) is -3.9934 eV per atom. Its space group is P-62m. For the formation enthalpy at 0 K, the calculation gives 0.119 eV/atom.

***

# 8
Crystalline In3Sn4Bi at its relaxed geometry, computed with PBE.

Lattice parameters (Å, degrees): 8.1180 6.8555 8.1178 90.00 90.00 90.00
Fractional positions:
In 0.0000 0.0011 0.0000
In 0.2413 0.7546 0.7400
In 0.2587 0.2454 0.2400
In 0.5000 0.9989 0.5000
In 0.7413 0.2454 0.2400
In 0.7587 0.7546 0.7400
Sn 0.0000 0.0048 0.4833
Sn 0.0000 0.5012 0.4844
Sn 0.2434 0.2608 0.7425
Sn 0.2566 0.7392 0.2425
Sn 0.5000 0.4988 0.9844
Sn 0.5000 0.9952 0.9833
Sn 0.7434 0.7392 0.2425
Sn 0.7566 0.2608 0.7425
Bi 0.0000 0.5016 0.9988
Bi 0.5000 0.4984 0.4988

Computed properties:
The value obtained for the total DFT energy (no corrections) is -3.4616 eV per atom. Its space group is Pmn2_1. For the formation enthalpy at 0 K, the calculation gives 0.052 eV/atom.

***

# 9
Crystalline BaY2Au at its relaxed geometry, computed with PBE.

Lattice parameters (Å, degrees): 5.4126 5.4126 5.4126 60.00 60.00 60.00
Fractional positions:
Ba 0.0000 0.0000 0.0000
Y 0.2500 0.2500 0.2500
Y 0.7500 0.7500 0.7500
Au 0.5000 0.5000 0.5000

Computed properties:
The value obtained for the total DFT energy (no corrections) is -4.5217 eV per atom. The energy relative to the lowest polymorph listed for this composition comes out at 0.312 eV/atom. Its space group is Fm-3m. For the formation enthalpy at 0 K, the calculation gives 0.010 eV/atom.

***

# 10
Crystalline TiPb at its relaxed geometry, computed with PBE.

Lattice parameters (Å, degrees): 3.2768 3.2768 4.1121 90.00 90.00 102.66
Fractional positions:
Ti 0.0000 0.0000 0.0000
Pb 0.5000 0.5000 0.5000

Computed properties:
The value obtained for the total DFT energy (no corrections) is -5.6878 eV per atom. Its space group is Cmmm. For the formation enthalpy at 0 K, the calculation gives 0.114 eV/atom.

***

# 11
Crystalline CsCrBSe4 at its relaxed geometry, computed with PBE.

Lattice parameters (Å, degrees): 6.0952 6.6697 9.0381 90.00 97.10 90.00
Fractional positions:
Cs 0.2308 0.2500 0.0551
Cs 0.7692 0.7500 0.9449
Cr 0.1808 0.7500 0.4618
Cr 0.8192 0.2500 0.5382
B 0.3381 0.2500 0.6411
B 0.6619 0.7500 0.3589
Se 0.1230 0.0119 0.6677
Se 0.1230 0.4881 0.6677
Se 0.3663 0.7500 0.2229
Se 0.4375 0.2500 0.4344
Se 0.5625 0.7500 0.5656
Se 0.6337 0.2500 0.7771
Se 0.8770 0.5119 0.3323
Se 0.8770 0.9881 0.3323

Computed properties:
The value obtained for the total DFT energy (no corrections) is -4.9175 eV per atom. The formation energy without anion corrections is -46 kJ/mol of atoms. Its space group is P2_1/m.

***

# 12
Crystalline ZrNb4 at its relaxed geometry, computed with PBE.

Lattice parameters (Å, degrees): 4.8522 4.8522 4.8522 90.00 90.00 90.00
Fractional positions:
Zr 0.0000 0.0000 0.0000
Nb 0.0000 0.0000 0.5000
Nb 0.0000 0.5000 0.0000
Nb 0.5000 0.0000 0.0000
Nb 0.5000 0.5000 0.5000

Computed properties:
The value obtained for the total DFT energy (no corrections) is -8.0570 eV per atom. The energy relative to the lowest polymorph listed for this composition comes out at 1.674 eV/atom. Its space group is Pm-3m. For the formation enthalpy at 0 K, the calculation gives 1.708 eV/atom.

***

# 13
Crystalline NaGeBr2Cl at its relaxed geometry, computed with PBE.

Lattice parameters (Å, degrees): 5.5233 5.5233 5.1757 90.00 90.00 90.00
Fractional positions:
Na 0.0000 0.0000 0.0000
Ge 0.5000 0.5000 0.5000
Br 0.0000 0.5000 0.5000
Br 0.5000 0.0000 0.5000
Cl 0.5000 0.5000 0.0000

Computed properties:
The value obtained for the total DFT energy (no corrections) is -3.1274 eV per atom. The formation energy without anion corrections is -87 kJ/mol of atoms. The energy relative to the lowest polymorph listed for this composition comes out at 0.107 eV/atom. Its space group is P4/mmm.

***

# 14
Crystalline NaVCu2 at its relaxed geometry, computed with PBE.

Lattice parameters (Å, degrees): 4.4620 4.4620 4.4620 60.00 60.00 60.00
Fractional positions:
Na 0.0000 0.0000 0.0000
V 0.5000 0.5000 0.5000
Cu 0.2500 0.2500 0.2500
Cu 0.7500 0.7500 0.7500

Computed properties:
The value obtained for the total DFT energy (no corrections) is -4.0454 eV per atom. The energy relative to the lowest polymorph listed for this composition comes out at 0.000 eV/atom. Its space group is Fm-3m. For the formation enthalpy at 0 K, the calculation gives 0.612 eV/atom.

***

# 15
Crystalline La3Cu3Pt at its relaxed geometry, computed with PBE.

Lattice parameters (Å, degrees): 10.1010 10.1010 10.1010 157.36 154.82 34.11
Fractional positions:
La 0.0000 0.0000 0.0000
La 0.3606 0.3606 0.0000
La 0.6855 0.1855 0.5000
Cu 0.1142 0.6142 0.5000
Cu 0.5465 0.5465 0.0000
Cu 0.8253 0.8253 0.0000
Pt 0.2468 0.7468 0.5000

Computed properties:
The value obtained for the total DFT energy (no corrections) is -5.1758 eV per atom. Its space group is Imm2. For the formation enthalpy at 0 K, the calculation gives -0.446 eV/atom.

***

# 16
Crystalline NaCaCu2 at its relaxed geometry, computed with PBE.

Lattice parameters (Å, degrees): 4.9418 4.9418 4.9418 60.00 60.00 60.00
Fractional positions:
Na 0.0000 0.0000 0.0000
Ca 0.5000 0.5000 0.5000
Cu 0.2500 0.2500 0.2500
Cu 0.7500 0.7500 0.7500

Computed properties:
The value obtained for the total DFT energy (no corrections) is -2.7364 eV per atom. The energy relative to the lowest polymorph listed for this composition comes out at 0.000 eV/atom. Its space group is Fm-3m. For the formation enthalpy at 0 K, the calculation gives 0.142 eV/atom.

***

# 17
Crystalline Ce2UPN5 at its relaxed geometry, computed with PBE.

Lattice parameters (Å, degrees): 6.4682 6.4682 5.6156 90.00 90.00 90.00
Fractional positions:
Ce 0.1751 0.3249 0.0000
Ce 0.3249 0.8249 0.0000
Ce 0.6751 0.1751 0.0000
Ce 0.8249 0.6751 0.0000
U 0.0000 0.0000 0.5000
U 0.5000 0.5000 0.5000
P 0.0000 0.5000 0.5000
P 0.5000 0.0000 0.5000
N 0.0000 0.0000 0.0000
N 0.1379 0.6379 0.2846
N 0.1379 0.6379 0.7154
N 0.3621 0.1379 0.2846
N 0.3621 0.1379 0.7154
N 0.5000 0.5000 0.0000
N 0.6379 0.8621 0.2846
N 0.6379 0.8621 0.7154
N 0.8621 0.3621 0.2846
N 0.8621 0.3621 0.7154

Computed properties:
The value obtained for the total DFT energy (no corrections) is -8.6491 eV per atom. The formation energy without anion corrections is -82 kJ/mol of atoms. Its space group is P4/mbm.

***

# 18
Crystalline Tb3Nd2Pd2 at its relaxed geometry, computed with PBE.

Lattice parameters (Å, degrees): 6.5988 6.5988 9.1925 116.17 116.17 33.17
Fractional positions:
Tb 0.0000 0.0000 0.0000
Tb 0.1154 0.1154 0.4419
Tb 0.8846 0.8846 0.5581
Nd 0.3453 0.3453 0.1873
Nd 0.6547 0.6547 0.8127
Pd 0.3356 0.3356 0.7613
Pd 0.6644 0.6644 0.2387

Computed properties:
The value obtained for the total DFT energy (no corrections) is -5.3352 eV per atom. Its space group is C2/m. For the formation enthalpy at 0 K, the calculation gives -0.505 eV/atom.

***

# 19
Crystalline Er4NiSe2S at its relaxed geometry, computed with PBE.

Lattice parameters (Å, degrees): 6.9649 3.8736 7.0170 90.00 108.73 90.00
Fractional positions:
Er 0.2286 0.0000 0.2210
Er 0.2506 0.5000 0.7685
Er 0.7494 0.5000 0.2315
Er 0.7714 0.0000 0.7790
Ni 0.0000 0.5000 0.0000
Se 0.0000 0.0000 0.5000
Se 0.5000 0.5000 0.5000
S 0.5000 0.0000 0.0000

Computed properties:
The value obtained for the total DFT energy (no corrections) is -5.8432 eV per atom. The formation energy without anion corrections is -140 kJ/mol of atoms. Its space group is P2/m.

***

# 20
Crystalline RbPrIn2Br6 at its relaxed geometry, computed with PBE.

Lattice parameters (Å, degrees): 8.6259 8.6259 8.6259 57.40 57.40 57.40
Fractional positions:
Rb 0.0000 0.0000 0.0000
Pr 0.4887 0.4887 0.4887
In 0.2898 0.2898 0.2898
In 0.7971 0.7971 0.7971
Br 0.1208 0.6663 0.4108
Br 0.2398 0.5947 0.8403
Br 0.4108 0.1208 0.6663
Br 0.5947 0.8403 0.2398
Br 0.6663 0.4108 0.1208
Br 0.8403 0.2398 0.5947

Computed properties:
The value obtained for the total DFT energy (no corrections) is -3.5044 eV per atom. The formation energy without anion corrections is -133 kJ/mol of atoms. Its space group is R3.

***

Here are the calculated DOS(E_F) numbers, same order: 29.33; 2.55; 3.55; 0.87; 5.55; 3.94; 10.12; 6.11; 5.70; 1.34; 1.98; 5.38; 0.00; 5.91; 6.19; 1.48; 22.96; 8.16; 4.40; 0.00 (states/eV per cell).